Entry 1:
Compound: DySc3Rh
Source: Alexandria
Functional: GGA-PBE
Structure: optimized geometry

Output
**Raw total energy**: -64.54 eV/cell
**Formation enthalpy at 0 K**: -0.26 eV/atom
**Symmetry**: Imma (74)
**Energy above the most stable polymorph in this dataset**: 0 meV per atom
**Calculated volume**: 122.8 Å³/f.u.

Cell: 6.957 6.957 6.957 Å, 106.62 123.95 98.95°
Positions (direct):
Sc  0.046  0.782  0.765
Sc  0.532  0.730  0.698
Sc  0.032  0.834  0.302
Sc  0.032  0.230  0.698
Sc  0.532  0.334  0.302
Sc  0.017  0.282  0.235
Rh  0.032  0.532  0.000
Rh  0.532  0.032  0.000
Dy  0.541  0.282  0.759
Dy  0.523  0.782  0.241

=====

Entry 2:
Compound: KSrTbCl6
Source: Alexandria
Functional: GGA-PBE
Structure: optimized geometry

Output
**Raw total energy**: -78.46 eV/cell
**Symmetry**: P-31c (163)
**E_form (uncorrected)**: -20.74 eV/f.u.
**Calculated volume**: 311.4 Å³/f.u.

Cell: 7.366 7.366 13.254 Å, 90.00 90.00 120.00°
Positions (direct):
Cl  0.975  0.622  0.364
Cl  0.378  0.353  0.364
Cl  0.647  0.622  0.136
Cl  0.622  0.647  0.636
Cl  0.025  0.378  0.636
Cl  0.353  0.378  0.864
Cl  0.622  0.975  0.864
Cl  0.353  0.975  0.636
Cl  0.025  0.647  0.864
Cl  0.378  0.025  0.136
Cl  0.975  0.353  0.136
Cl  0.647  0.025  0.364
Tb  0.667  0.333  0.250
Tb  0.333  0.667  0.750
Sr  0.667  0.333  0.750
Sr  0.333  0.667  0.250
K  0.000  0.000  0.000
K  0.000  0.000  0.500